CaLaTh2Bi4: relaxed, PBE.

Energy relative to the elements   -0.79 eV/atom
DFT total energy   -43.6 eV for the cell shown
Total magnetization   0.00 μB per formula unit
Space group   No. 10

a = 4.632 Å, b = 8.005 Å, c = 8.046 Å
α = 109.44°, β = 90.00°, γ = 90.00°
Positions (direct):
Th: 0.000 0.500 0.500
Th: 0.500 0.000 0.500
Bi: 0.500 0.254 0.254
Bi: 0.500 0.746 0.746
Bi: 0.000 0.749 0.254
Bi: 0.000 0.251 0.746
Ca: 0.500 0.500 0.000
La: 0.000 0.000 0.000